Below is crystalline K2LaAs2 at its relaxed geometry, with properties calculated at the PBE level.

Cell: 4.492 4.492 7.931 Å, 73.55 73.55 90.00°
Site moments in Bohr magnetons follow the coordinates.
Sites, in units of the cell vectors:
As 0.415 0.415 0.170  0.00
As 0.585 0.585 0.830  0.00
K 0.750 0.250 0.500  0.04
K 0.250 0.750 0.500  0.04
La 0.000 0.000 0.000  0.18

Space group = I4/mmm (139)
ΔE to the lowest computed polymorph = 47.3 meV/atom

Below is crystalline K2LaAs at its relaxed geometry, with properties calculated at the PBE level.

Cell: 12.975 12.975 12.975 Å, 16.42 16.42 16.42°
Sites, in units of the cell vectors:
As 0.750 0.750 0.750
K 0.018 0.018 0.018
K 0.482 0.482 0.482
La 0.250 0.250 0.250

Space group = R-3m (166)

Below is crystalline KLa2As at its relaxed geometry, with properties calculated at the PBE level.

Cell: 3.821 3.820 11.433 Å, 70.62 90.00 90.00°
Site moments in Bohr magnetons follow the coordinates.
Sites, in units of the cell vectors:
As 0.500 0.250 0.250  -0.01
K 0.500 0.750 0.750  0.01
La 0.000 0.903 0.098  0.30
La 0.000 0.597 0.402  0.30

Space group = P2/m (10)

Below is crystalline K2LaAs at its relaxed geometry, with properties calculated at the PBE level.

Cell: 8.439 8.439 8.439 Å, 151.66 139.33 50.31°
Sites, in units of the cell vectors:
As 0.272 0.772 0.500
K 0.087 0.087 0.000
K 0.741 0.241 0.500
La 0.399 0.399 0.000

Space group = Imm2 (44)

Number 1: energy relative to the elements -0.48 eV per atom. Number 2: energy relative to the elements 0.24 eV per atom. Number 3: energy relative to the elements -0.46 eV per atom. Number 4: energy relative to the elements -0.29 eV per atom.